{
  "formula": "KLaTa2",
  "functional": "PBE-GGA",
  "state": "relaxed",
  "lattice_angstrom": [[3.8731, 0.0000, 0.0000], [0.0000, 4.4434, 0.0000], [0.0000, 0.0000, 5.6234]],
  "species": ["K", "La", "Ta", "Ta"],
  "fractional_positions": [[0.5000, 0.0000, 0.5000], [0.0000, 0.5000, 0.5000], [0.0000, 0.0000, 0.0000], [0.5000, 0.5000, 0.0000]],
  "total_energy_ev_per_cell": -24.78,
  "e_above_lowest_polymorph_mev_per_atom": 684,
  "total_magnetization_mub_per_fu": 0.00,
  "formation_energy_ev_per_atom": 1.2380
}